Here is a relaxed structure of GaPdS2Cl from Alexandria. Energies are from GGA-PBE.

```
5
Lattice="-2.5003 -3.7273 0.7828 4.5910 -2.4748 2.8801 -1.4766 1.8118 3.9107" Properties=species:S:1:pos:R:3 pbc="T T T"
S -0.7383 0.9059 1.9553
S -1.2501 -1.8636 0.3914
Ga 2.2955 -1.2374 1.4400
Pd 0.0000 0.0000 0.0000
Cl 0.3070 -2.1951 3.7868
```

SG: No. 123
Uncorrected formation energy, meV per atom: 201
ρ, g/cm3: 3.70
ΔE to the lowest computed polymorph, eV/atom: 0.068
Final energy, eV/cell: -17.32